(1)
The following is a DFT calculation (GGA-PBE) of crystalline Tl3PbO6 at its relaxed geometry.

Cell and atoms, written as POSCAR:
```
Tl3PbO6
1.0
-3.0759 -3.8269 -4.7771
-3.0383 -3.6560 4.9325
-5.2754 4.3697 -0.0565
Tl Pb O
6 2 12
Direct
0.4496 0.9384 0.7528 Tl
0.9384 0.7528 0.4496 Tl
0.2472 0.5504 0.0616 Tl
0.7528 0.4496 0.9384 Tl
0.0616 0.2472 0.5504 Tl
0.5504 0.0616 0.2472 Tl
0.0000 0.0000 0.0000 Pb
0.5000 0.5000 0.5000 Pb
0.3095 0.9116 0.0645 O
0.0884 0.9355 0.6905 O
0.5995 0.8123 0.4643 O
0.9355 0.6905 0.0884 O
0.4643 0.5995 0.8123 O
0.1877 0.5357 0.4005 O
0.8123 0.4643 0.5995 O
0.5357 0.4005 0.1877 O
0.0645 0.3095 0.9116 O
0.4005 0.1877 0.5357 O
0.9116 0.0645 0.3095 O
0.6905 0.0884 0.9355 O
```

Summary:
Relative energy among the computed polymorphs, eV per atom: 0.000
Final energy, Ha/atom: -0.17586
Formation energy from raw total energies, eV per atom: -0.730

(2)
The following is a DFT calculation (GGA-PBE) of crystalline Th2Ge at its relaxed geometry.

Cell and atoms, written as POSCAR:
```
Th2Ge
1.0
6.0571 0.0113 0.0000
-2.9860 5.2700 0.0000
-1.5356 -2.6406 5.2305
Th Ge
4 2
Direct
0.8362 0.6638 0.5000 Th
0.3362 0.8362 0.1723 Th
0.1638 0.3362 0.5000 Th
0.6638 0.1638 0.8277 Th
0.2500 0.2500 0.0000 Ge
0.7500 0.7500 0.0000 Ge
```

Summary:
Final energy, Ha/atom: -0.25968

(3)
The following is a DFT calculation (GGA-PBE) of crystalline KBaAl2S at its relaxed geometry.

Cell and atoms, written as POSCAR:
```
KBaAl2S
1.0
5.2858 0.0000 0.0000
0.0000 5.9260 0.0000
0.0000 0.0000 5.2858
S K Ba Al
1 1 1 2
Direct
0.0000 0.0000 0.0000 S
0.5000 0.5000 0.5000 K
0.0000 0.5000 0.0000 Ba
0.0000 0.0000 0.5000 Al
0.5000 0.0000 0.0000 Al
```

Summary:
Final energy, Ha/atom: -0.10716
Formation energy from raw total energies, eV per atom: 0.011

(4)
The following is a DFT calculation (GGA-PBE) of crystalline Ba3CdO at its relaxed geometry.

Cell and atoms, written as POSCAR:
```
Ba3CdO
1.0
7.6462 0.0000 0.0000
0.0000 8.0894 1.4597
0.0000 -1.8255 12.1980
Ba Cd O
12 4 4
Direct
0.0079 0.7082 0.5459 Ba
0.9921 0.2918 0.4541 Ba
0.5079 0.7918 0.9541 Ba
0.4921 0.2082 0.0459 Ba
0.4922 0.7082 0.5457 Ba
0.5078 0.2918 0.4543 Ba
0.9922 0.7918 0.9543 Ba
0.0078 0.2082 0.0457 Ba
0.2500 0.5929 0.2478 Ba
0.7500 0.4071 0.7522 Ba
0.7500 0.9071 0.2522 Ba
0.2500 0.0929 0.7478 Ba
0.7500 0.9864 0.7035 Cd
0.2500 0.0136 0.2965 Cd
0.2500 0.5136 0.7965 Cd
0.7500 0.4864 0.2035 Cd
0.2500 0.5091 0.4473 O
0.7500 0.4909 0.5527 O
0.7500 0.9909 0.0527 O
0.2500 0.0091 0.9473 O
```

Summary:
Relative energy among the computed polymorphs, eV per atom: 0.056
Final energy, Ha/atom: -0.12377
Formation energy from raw total energies, eV per atom: -1.040

(5)
The following is a DFT calculation (GGA-PBE) of crystalline Na2In2Sb3 at its relaxed geometry.

Cell and atoms, written as POSCAR:
```
Na2In2Sb3
1.0
0.3129 -4.7225 -0.8068
3.5335 -0.7630 -8.4485
9.8474 -2.2527 2.7192
Na In Sb
4 4 6
Direct
0.2681 0.1433 0.3205 Na
0.7319 0.8567 0.6795 Na
0.4029 0.2332 0.9609 Na
0.5971 0.7668 0.0391 Na
0.0444 0.2124 0.6988 In
0.9556 0.7876 0.3012 In
0.4044 0.5234 0.6678 In
0.5956 0.4766 0.3322 In
0.0935 0.9380 0.8751 Sb
0.9065 0.0620 0.1249 Sb
0.1640 0.5030 0.1689 Sb
0.8360 0.4970 0.8311 Sb
0.3735 0.7831 0.4698 Sb
0.6265 0.2169 0.5302 Sb
```

Summary:
Final energy, Ha/atom: -0.11556
Formation energy from raw total energies, eV per atom: -0.219

(6)
The following is a DFT calculation (GGA-PBE) of crystalline YTc2W at its relaxed geometry.

Cell and atoms, written as POSCAR:
```
YTc2W
1.0
8.8721 0.0163 0.0096
8.3267 3.0630 0.0096
8.3267 1.4908 2.6757
Tc W Y
2 1 1
Direct
0.9906 0.9906 0.9906 Tc
0.5094 0.5094 0.5094 Tc
0.2500 0.2500 0.2500 W
0.7500 0.7500 0.7500 Y
```

Summary:
Final energy, Ha/atom: -0.35535

(7)
The following is a DFT calculation (GGA-PBE) of crystalline Pm2ScTl at its relaxed geometry.

Cell and atoms, written as POSCAR:
```
Pm2ScTl
1.0
3.7735 0.0000 0.0000
0.0000 3.7735 0.0000
0.0000 0.0000 8.3663
Sc Tl Pm
1 1 2
Direct
0.5000 0.5000 0.5000 Sc
0.5000 0.5000 0.0000 Tl
0.0000 0.0000 0.7539 Pm
0.0000 0.0000 0.2461 Pm
```

Summary:
Relative energy among the computed polymorphs, eV per atom: 0.063
Final energy, Ha/atom: -0.17171

(8)
The following is a DFT calculation (GGA-PBE) of crystalline Mg6InAg2 at its relaxed geometry.

Cell and atoms, written as POSCAR:
```
Mg6InAg2
1.0
8.0297 0.0985 -0.3917
-2.9512 7.4683 0.3917
-3.0426 -3.4456 6.5962
Mg In Ag
12 2 4
Direct
0.5211 0.7091 0.8120 Mg
0.4789 0.2909 0.1880 Mg
0.1029 0.2909 0.8120 Mg
0.8971 0.7091 0.1880 Mg
0.8016 0.7485 0.5501 Mg
0.1984 0.2515 0.4499 Mg
0.1984 0.7485 0.9468 Mg
0.8016 0.2515 0.0532 Mg
0.7081 0.3737 0.6656 Mg
0.2919 0.6263 0.3344 Mg
0.2919 0.9575 0.6656 Mg
0.7081 0.0425 0.3344 Mg
0.0000 0.5000 0.5000 In
0.0000 0.0000 0.0000 In
0.5000 0.3609 0.8609 Ag
0.5000 0.6391 0.1391 Ag
0.6668 0.0000 0.6668 Ag
0.3332 0.0000 0.3332 Ag
```

Summary:
Final energy, Ha/atom: -0.07774

(9)
The following is a DFT calculation (GGA-PBE) of crystalline Hg2Au2I7 at its relaxed geometry.

Cell and atoms, written as POSCAR:
```
Hg2Au2I7
1.0
8.6512 -0.0382 -2.5964
-1.5289 8.5151 -2.5964
-1.0595 -1.2610 15.2904
Hg Au I
4 4 14
Direct
0.3896 0.8182 0.5091 Hg
0.1818 0.6104 0.9909 Hg
0.8182 0.3896 0.0091 Hg
0.6104 0.1818 0.4909 Hg
0.1951 0.0596 0.2064 Au
0.0596 0.1951 0.7064 Au
0.9404 0.8049 0.2936 Au
0.8049 0.9404 0.7936 Au
0.0577 0.6415 0.4043 I
0.1601 0.4427 0.1197 I
0.4250 0.3404 0.3750 I
0.9382 0.0618 0.2500 I
0.6415 0.0577 0.9043 I
0.4427 0.1601 0.6197 I
0.3404 0.4250 0.8750 I
0.6596 0.5750 0.1250 I
0.5573 0.8399 0.3803 I
0.3585 0.9423 0.0957 I
0.0618 0.9382 0.7500 I
0.5750 0.6596 0.6250 I
0.8399 0.5573 0.8803 I
0.9423 0.3585 0.5957 I
```

Summary:
Relative energy among the computed polymorphs, eV per atom: 0.000
Final energy, Ha/atom: -0.06510
Formation energy from raw total energies, eV per atom: -0.134

(10)
The following is a DFT calculation (GGA-PBE) of crystalline CrRuPb2 at its relaxed geometry.

Cell and atoms, written as POSCAR:
```
CrRuPb2
1.0
3.4547 0.0000 0.0000
0.0000 3.4547 0.0000
0.0000 0.0000 6.7496
Cr Pb Ru
1 2 1
Direct
0.5000 0.5000 0.7500 Cr
0.0000 0.0000 0.0130 Pb
0.0000 0.0000 0.4870 Pb
0.5000 0.5000 0.2500 Ru
```

Summary:
Relative energy among the computed polymorphs, eV per atom: 0.253
Final energy, Ha/atom: -0.22043

(11)
The following is a DFT calculation (GGA-PBE) of crystalline TaCoW2 at its relaxed geometry.

Cell and atoms, written as POSCAR:
```
TaCoW2
1.0
2.7173 0.0000 0.0000
0.0000 2.7173 0.0000
0.0000 0.0000 8.2940
Co Ta W
1 1 2
Direct
0.5000 0.5000 0.2500 Co
0.5000 0.5000 0.7500 Ta
0.0000 0.0000 0.0329 W
0.0000 0.0000 0.4671 W
```

Summary:
Relative energy among the computed polymorphs, eV per atom: 0.074
Final energy, Ha/atom: -0.40853

(12)
The following is a DFT calculation (GGA-PBE) of crystalline LaIN2F at its relaxed geometry.

Cell and atoms, written as POSCAR:
```
LaIN2F
1.0
5.0653 0.0000 0.0000
0.0000 5.0653 0.0000
0.0000 0.0000 4.5923
I N F La
1 2 1 1
Direct
0.5000 0.5000 0.5000 I
0.0000 0.5000 0.0000 N
0.5000 0.0000 0.0000 N
0.0000 0.0000 0.5000 F
0.0000 0.0000 0.0000 La
```

Summary:
Relative energy among the computed polymorphs, eV per atom: 0.000
Final energy, Ha/atom: -0.18556
Formation energy from raw total energies, eV per atom: -0.049

| no. | V (Å³ per atom) |
| --- | --- |
| 1 | 16.1 |
| 2 | 27.9 |
| 3 | 33.1 |
| 4 | 38.7 |
| 5 | 30.9 |
| 6 | 18.0 |
| 7 | 29.8 |
| 8 | 22.0 |
| 9 | 48.6 |
| 10 | 20.1 |
| 11 | 15.3 |
| 12 | 23.6 |